CrIrAuO2 | PBE+U | relaxed

The structure belongs to space group P4/mmm (No. 123); the cell edges are 3.6825, 3.6825 and 5.6223 Å and the angles 90.00°, 90.00° and 90.00°. The asymmetric unit holds Cr at (0.0000, 0.0000, 0.0000), Ir at (0.0000, 0.0000, 0.5000), Au at (0.5000, 0.5000, 0.5000) and O at (0.0000, 0.5000, 0.0000).

For the final energy, the calculation gives -0.43015 Ry/atom. For the density of states at the Fermi level, the calculation gives 6.069 states/eV/cell. The calculation puts the total moment at 0.160 μB per atom.